No. 1
DFT (PBE) results for an optimized crystal structure of AuI2.

a b c (Å): 5.7471 8.0025 10.9265
angles (deg): 90.00 90.00 90.00
Space group Imma (No. 74)
One atom of each set of equivalent atoms:
Au: 0.0000 0.2500 0.1244 (multiplicity 4)
I: 0.0000 0.2500 0.3686 (multiplicity 4)
I: 0.0000 0.2500 0.8845 (multiplicity 4)

Results
Electronic total energy (eV/atom): -2.162
Total magnetization (μB per formula unit): 0.0
E_form (uncorrected) (eV/atom): -0.0361
Theoretical density (Mg/m³): 5.958

***

No. 2
DFT (PBE) results for an optimized crystal structure of BeCdPt3.

a b c (Å): 14.7592 2.8763 7.2284
angles (deg): 90.00 102.13 90.00
Space group C2/m (No. 12)
One atom of each set of equivalent atoms:
Be: 0.1973 0.0000 0.2885 (multiplicity 4)
Cd: 0.0157 0.0000 0.7172 (multiplicity 4)
Pt: 0.0984 0.5000 0.0769 (multiplicity 4)
Pt: 0.1443 0.5000 0.5032 (multiplicity 4)
Pt: 0.2061 0.0000 0.8431 (multiplicity 4)

Results
Electronic total energy (eV/atom): -4.972
Total magnetization (μB per formula unit): 0.0
Theoretical density (Mg/m³): 15.646

***

No. 3
DFT (PBE) results for an optimized crystal structure of CdTc2Ag.

a b c (Å): 3.2412 4.2937 9.5401
angles (deg): 90.00 90.00 90.00
Space group Cmmm (No. 65)
One atom of each set of equivalent atoms:
Cd: 0.0000 0.0000 0.0000 (multiplicity 2)
Tc: 0.0000 0.5000 0.2526 (multiplicity 4)
Ag: 0.0000 0.0000 0.5000 (multiplicity 2)

Results
Electronic total energy (eV/atom): -5.534
Total magnetization (μB per formula unit): 0.0
Theoretical density (Mg/m³): 10.413

***

No. 4
DFT (PBE) results for an optimized crystal structure of ErPaAlMo.

a b c (Å): 7.0407 7.0407 7.0407
angles (deg): 90.00 90.00 90.00
Space group F-43m (No. 216)
One atom of each set of equivalent atoms:
Er: 0.0000 0.0000 0.0000 (multiplicity 4)
Pa: 0.0000 0.0000 0.5000 (multiplicity 4)
Al: 0.2500 0.2500 0.2500 (multiplicity 4)
Mo: 0.2500 0.2500 0.7500 (multiplicity 4)

Results
Electronic total energy (eV/atom): -7.106
Total magnetization (μB per formula unit): 0.0
Theoretical density (Mg/m³): 9.919

***

Question: Among the records above, which one has the highest theoretical density?
Answer: BeCdPt3

***

Question: Look up the electronic total energy of the fourth one.
Answer: -7.106 eV/atom

***

Repeat the second record exactly.
DFT (PBE) results for an optimized crystal structure of BeCdPt3.

a b c (Å): 14.7592 2.8763 7.2284
angles (deg): 90.00 102.13 90.00
Space group C2/m (No. 12)
One atom of each set of equivalent atoms:
Be: 0.1973 0.0000 0.2885 (multiplicity 4)
Cd: 0.0157 0.0000 0.7172 (multiplicity 4)
Pt: 0.0984 0.5000 0.0769 (multiplicity 4)
Pt: 0.1443 0.5000 0.5032 (multiplicity 4)
Pt: 0.2061 0.0000 0.8431 (multiplicity 4)

Results
Electronic total energy (eV/atom): -4.972
Total magnetization (μB per formula unit): 0.0
Theoretical density (Mg/m³): 15.646